# 1
{"formula": "Er6Bi3TeSe2", "functional": "PBE", "state": "relaxed", "lattice_angstrom": [[-2.005, 2.115, -6.846], [-5.048, -0.122, 5.464], [3.910, 5.963, 2.050]], "species": ["Se", "Se", "Te", "Er", "Er", "Er", "Er", "Er", "Er", "Bi", "Bi", "Bi"], "frac_coords": [[0.331, 0.669, 0.000], [0.669, 0.331, 0.000], [0.000, 0.000, 0.000], [0.427, 0.080, 0.238], [0.728, 0.728, 0.228], [0.080, 0.427, 0.238], [0.920, 0.573, 0.762], [0.573, 0.920, 0.762], [0.272, 0.272, 0.772], [0.840, 0.160, 0.500], [0.500, 0.500, 0.500], [0.160, 0.840, 0.500]], "formation_energy_uncorrected_ev_per_atom": -1.158, "spacegroup": "C2/m (12)"}



# 2
{"formula": "ErTl3Bi2Se6", "functional": "PBE", "state": "relaxed", "lattice_angstrom": [[7.387, -0.001, 0.001], [-3.693, 6.398, 0.001], [-1.231, -2.132, 7.686]], "species": ["Se", "Se", "Se", "Se", "Se", "Se", "Er", "Bi", "Bi", "Tl", "Tl", "Tl"], "frac_coords": [[0.930, 0.606, 0.790], [0.606, 0.930, 0.790], [0.747, 0.747, 0.210], [0.070, 0.394, 0.210], [0.394, 0.070, 0.210], [0.253, 0.253, 0.790], [0.000, 0.000, 0.000], [0.666, 0.334, 0.000], [0.334, 0.666, 0.000], [0.168, 0.832, 0.500], [0.832, 0.168, 0.500], [0.500, 0.500, 0.500]], "formation_energy_uncorrected_ev_per_atom": -0.760, "spacegroup": "C2/m (12)"}